(1)
First-principles (PBE-GGA) data for an optimized crystal structure of Tm3Cd3C, as listed in Alexandria via LeMat-Bulk.

Output
ΔH_f (0 K), eV/atom: -0.3632
ρ, g/cm³: 9.5
Size of the total moment, μB per formula unit: 0.00
DOS at the Fermi energy, states/eV per cell: 80.3

a = 13.3832 Å, b = 13.3832 Å, c = 13.3832 Å
α = 90.00°, β = 90.00°, γ = 90.00°
Closest atoms and distances in Å follow each position.
Space group Fd-3m (No. 227, origin choice 2)
Unique sites:
Tm  0.0633  0.3750  0.3750 (multiplicity 48)  2 C 2.51
Cd  0.0000  0.0000  0.5000 (multiplicity 16)  6 Cd 2.90
Cd  0.0412  0.0412  0.7088 (multiplicity 32)  6 Cd 2.90-3.17, 3 Tm 3.16
C  0.0000  0.0000  0.0000 (multiplicity 16)  6 Tm 2.51

(2)
First-principles (PBE-GGA) data for an optimized crystal structure of CsBaPdO2, as listed in Alexandria via LeMat-Bulk.

Output
ρ, g/cm³: 4.5
Formation energy from raw total energies, eV per formula unit: -6.33
Size of the total moment, μB per formula unit: 1.01
DOS at the Fermi energy, states/eV per cell: 22.1

a = 8.0972 Å, b = 13.9043 Å, c = 5.3248 Å
α = 90.00°, β = 90.00°, γ = 90.00°
Closest atoms and distances in Å follow each position.
Space group Cmme (No. 67)
Unique sites:
Cs  0.0000  0.2500  0.1017 (multiplicity 4)  2 O 2.97
Ba  0.2500  0.0000  0.5000 (multiplicity 4)  4 O 2.68
Pd  0.0000  0.0000  0.0000 (multiplicity 4)  2 O 1.98
O  0.0000  0.0938  0.7202 (multiplicity 8)  1 Pd 1.98

(3)
First-principles (PBE-GGA) data for an optimized crystal structure of La4Nd5Dy, as listed in Alexandria via LeMat-Bulk.

Output
ΔH_f (0 K), eV/atom: 0.1525
ρ, g/cm³: 6.6
Size of the total moment, μB per formula unit: 0.00
DOS at the Fermi energy, states/eV per cell: 33.7

a = 11.9745 Å, b = 5.6797 Å, c = 10.7189 Å
α = 90.00°, β = 90.16°, γ = 90.00°
Closest atoms and distances in Å follow each position.
Space group C2/m (No. 12)
Unique sites:
La  0.0469  0.0000  0.2531 (multiplicity 4)  1 La 3.28, 2 Nd 3.52-3.54
La  0.1791  0.5000  0.7495 (multiplicity 4)  1 La 3.28, 1 Dy 3.42, 5 Nd 3.44-3.48
Nd  0.0000  0.5000  0.0000 (multiplicity 2)  2 La 3.44, 6 Nd 3.71-3.74
Nd  0.1951  0.0000  0.9366 (multiplicity 4)  5 Nd 3.41-3.74, 4 La 3.48-3.68
Nd  0.1966  0.0000  0.5646 (multiplicity 4)  2 Nd 3.41, 5 La 3.47-3.79, 3 Dy 3.70-3.75
Dy  0.0000  0.5000  0.5000 (multiplicity 2)  2 La 3.42, 6 Nd 3.70-3.75

(4)
First-principles (PBE-GGA) data for an optimized crystal structure of Hg2MoIr, as listed in Alexandria via LeMat-Bulk.

Output
ΔH_f (0 K), eV/atom: 0.6738
ρ, g/cm³: 15.9
Size of the total moment, μB per formula unit: 0.00
DOS at the Fermi energy, states/eV per cell: 8.2

a = 3.0264 Å, b = 4.9133 Å, c = 9.7081 Å
α = 90.00°, β = 90.00°, γ = 90.00°
Closest atoms and distances in Å follow each position.
Space group Cmmm (No. 65)
Unique sites:
Hg  0.0000  0.0000  0.2451 (multiplicity 4)  2 Ir 2.82, 6 Hg 2.89-3.03, 2 Mo 2.90
Mo  0.0000  0.5000  0.5000 (multiplicity 2)  6 Mo 2.89-3.03, 4 Hg 2.90
Ir  0.0000  0.5000  0.0000 (multiplicity 2)  4 Hg 2.82, 6 Ir 2.89-3.03

Repeat the third record exactly.
First-principles (PBE-GGA) data for an optimized crystal structure of La4Nd5Dy, as listed in Alexandria via LeMat-Bulk.

Output
ΔH_f (0 K), eV/atom: 0.1525
ρ, g/cm³: 6.6
Size of the total moment, μB per formula unit: 0.00
DOS at the Fermi energy, states/eV per cell: 33.7

a = 11.9745 Å, b = 5.6797 Å, c = 10.7189 Å
α = 90.00°, β = 90.16°, γ = 90.00°
Closest atoms and distances in Å follow each position.
Space group C2/m (No. 12)
Unique sites:
La  0.0469  0.0000  0.2531 (multiplicity 4)  1 La 3.28, 2 Nd 3.52-3.54
La  0.1791  0.5000  0.7495 (multiplicity 4)  1 La 3.28, 1 Dy 3.42, 5 Nd 3.44-3.48
Nd  0.0000  0.5000  0.0000 (multiplicity 2)  2 La 3.44, 6 Nd 3.71-3.74
Nd  0.1951  0.0000  0.9366 (multiplicity 4)  5 Nd 3.41-3.74, 4 La 3.48-3.68
Nd  0.1966  0.0000  0.5646 (multiplicity 4)  2 Nd 3.41, 5 La 3.47-3.79, 3 Dy 3.70-3.75
Dy  0.0000  0.5000  0.5000 (multiplicity 2)  2 La 3.42, 6 Nd 3.70-3.75